A plane-wave DFT calculation with GGA-PBE was carried out for a relaxed Ba2TlPb3 crystal.

Raw total energy in eV per atom: -3.32
DOS(E_F) in states/eV per cell: 3.27
Offset from the most stable computed form in kJ/mol of atoms: 0.0
Formation energy in meV/atom: -429

Lattice parameters (Å, degrees): 7.0577 7.0577 8.4087 125.12 125.12 42.78
With the nearest neighbours (Å) after each atom.
Sites, in units of the cell vectors:
Ba 0.0000 0.0000 0.0000  8 Pb 3.69-4.07, 2 Tl 3.86
Ba 0.1110 0.1110 0.6072  3 Tl 3.71-4.10, 7 Pb 3.74-3.90
Tl 0.3984 0.3984 0.2204  4 Pb 3.19-3.52
Pb 0.4003 0.4003 0.6142  3 Pb 3.21-3.36, 1 Tl 3.30
Pb 0.7186 0.7186 0.0057  2 Tl 3.19, 2 Pb 3.22-3.36
Pb 0.7193 0.7193 0.3892  3 Pb 3.21-3.22, 1 Tl 3.52

---

A plane-wave DFT calculation with GGA-PBE was carried out for a relaxed BaTl4Pb crystal.

Raw total energy in eV per atom: -2.65
DOS(E_F) in states/eV per cell: 5.69
Offset from the most stable computed form in kJ/mol of atoms: 6.7
Formation energy in meV/atom: -132

Lattice parameters (Å, degrees): 6.0462 6.0462 11.8336 106.25 106.25 84.48
With the nearest neighbours (Å) after each atom.
Sites, in units of the cell vectors:
Ba 0.2441 0.2441 0.0000  10 Tl 3.69-3.75, 2 Ba 4.07
Ba 0.7559 0.7559 0.0000  10 Tl 3.69-3.75, 2 Ba 4.07
Tl 0.0732 0.0732 0.6576  5 Tl 3.41-3.45, 4 Pb 3.45-3.51, 1 Ba 3.75
Tl 0.1645 0.6413 0.8034  1 Pb 3.33, 4 Tl 3.40-3.44, 2 Ba 3.69-3.70
Tl 0.3587 0.8355 0.1966  1 Pb 3.33, 4 Tl 3.40-3.44, 2 Ba 3.69-3.70
Tl 0.4145 0.4145 0.3425  5 Tl 3.40-3.45, 4 Pb 3.44-3.52, 1 Ba 3.75
Tl 0.5855 0.5855 0.6575  5 Tl 3.40-3.45, 4 Pb 3.44-3.52, 1 Ba 3.75
Tl 0.6413 0.1645 0.8034  1 Pb 3.33, 4 Tl 3.40-3.44, 2 Ba 3.69-3.70
Tl 0.8355 0.3587 0.1966  1 Pb 3.33, 4 Tl 3.40-3.44, 2 Ba 3.69-3.70
Tl 0.9268 0.9268 0.3424  5 Tl 3.41-3.45, 4 Pb 3.45-3.51, 1 Ba 3.75
Pb 0.0000 0.5000 0.5000  10 Tl 3.33-3.52
Pb 0.5000 0.0000 0.5000  10 Tl 3.33-3.52

---

A plane-wave DFT calculation with GGA-PBE was carried out for a relaxed Ba2Tl15Pb2 crystal.

Raw total energy in eV per atom: -2.56
DOS(E_F) in states/eV per cell: 9.70
Formation energy in meV/atom: -98

Lattice parameters (Å, degrees): 8.6574 8.6574 8.6574 82.62 82.62 82.62
With the nearest neighbours (Å) after each atom.
Sites, in units of the cell vectors:
Ba 0.1646 0.1646 0.1646  1 Pb 4.00, 18 Tl 4.04-4.45
Ba 0.8354 0.8354 0.8354  1 Pb 4.00, 18 Tl 4.04-4.45
Tl 0.0000 0.5000 0.5000  8 Tl 3.29-3.36, 2 Pb 3.50
Tl 0.1439 0.1439 0.6568  8 Tl 3.27-3.57
Tl 0.1439 0.6568 0.1439  8 Tl 3.27-3.57
Tl 0.2034 0.5000 0.7966  8 Tl 3.29-3.57
Tl 0.2034 0.7966 0.5000  8 Tl 3.29-3.57
Tl 0.3432 0.8561 0.8561  8 Tl 3.27-3.57
Tl 0.5000 0.0000 0.5000  8 Tl 3.29-3.36, 2 Pb 3.50
Tl 0.5000 0.2034 0.7966  8 Tl 3.29-3.57
Tl 0.5000 0.5000 0.0000  8 Tl 3.29-3.36, 2 Pb 3.50
Tl 0.5000 0.7966 0.2034  8 Tl 3.29-3.57
Tl 0.6568 0.1439 0.1439  8 Tl 3.27-3.57
Tl 0.7966 0.2034 0.5000  8 Tl 3.29-3.57
Tl 0.7966 0.5000 0.2034  8 Tl 3.29-3.57
Tl 0.8561 0.3432 0.8561  8 Tl 3.27-3.57
Tl 0.8561 0.8561 0.3432  8 Tl 3.27-3.57
Pb 0.4028 0.4028 0.4028  1 Pb 3.27, 3 Tl 3.50
Pb 0.5972 0.5972 0.5972  1 Pb 3.27, 3 Tl 3.50

---

A plane-wave DFT calculation with GGA-PBE was carried out for a relaxed BaTl6Pb crystal.

Raw total energy in eV per atom: -2.62
DOS(E_F) in states/eV per cell: 2.94
Offset from the most stable computed form in kJ/mol of atoms: 0.0
Formation energy in meV/atom: -144

Lattice parameters (Å, degrees): 5.4818 7.1326 7.1326 70.18 90.00 90.00
With the nearest neighbours (Å) after each atom.
Sites, in units of the cell vectors:
Ba 0.0000 0.0000 0.0000  10 Tl 3.51-3.70
Tl 0.0000 0.0786 0.4865  7 Tl 3.34-3.69, 2 Ba 3.51-3.70, 2 Pb 3.52-3.69
Tl 0.0000 0.4865 0.0786  7 Tl 3.34-3.69, 2 Ba 3.51-3.70, 2 Pb 3.52-3.69
Tl 0.5000 0.2036 0.2036  8 Tl 3.34-3.65, 2 Ba 3.63
Tl 0.5000 0.2680 0.6740  7 Tl 3.33-3.65, 2 Pb 3.39, 2 Ba 3.68
Tl 0.5000 0.6740 0.2680  7 Tl 3.33-3.65, 2 Pb 3.39, 2 Ba 3.68
Tl 0.5000 0.7452 0.7452  2 Pb 3.46, 8 Tl 3.59-3.69
Pb 0.0000 0.5640 0.5640  10 Tl 3.39-3.69

---

A plane-wave DFT calculation with GGA-PBE was carried out for a relaxed Ba4Tl12Pb crystal.

Raw total energy in eV per atom: -2.62
DOS(E_F) in states/eV per cell: 13.57
Formation energy in meV/atom: -275

Lattice parameters (Å, degrees): 9.1166 9.1166 9.1166 109.47 109.47 109.47
With the nearest neighbours (Å) after each atom.
Sites, in units of the cell vectors:
Ba 0.0000 0.0000 0.5000  12 Tl 3.72-3.78
Ba 0.0000 0.5000 0.0000  12 Tl 3.72-3.78
Ba 0.5000 0.0000 0.0000  12 Tl 3.72-3.78
Ba 0.5000 0.5000 0.5000  12 Tl 3.72-3.78
Tl 0.0000 0.3122 0.3122  1 Pb 3.29, 4 Tl 3.29
Tl 0.0000 0.6878 0.6878  1 Pb 3.29, 4 Tl 3.29
Tl 0.2500 0.5000 0.7500  4 Tl 3.29
Tl 0.2500 0.7500 0.5000  4 Tl 3.29
Tl 0.3122 0.0000 0.3122  1 Pb 3.29, 4 Tl 3.29
Tl 0.3122 0.3122 0.0000  1 Pb 3.29, 4 Tl 3.29
Tl 0.5000 0.2500 0.7500  4 Tl 3.29
Tl 0.5000 0.7500 0.2500  4 Tl 3.29
Tl 0.6878 0.0000 0.6878  1 Pb 3.29, 4 Tl 3.29
Tl 0.6878 0.6878 0.0000  1 Pb 3.29, 4 Tl 3.29
Tl 0.7500 0.2500 0.5000  4 Tl 3.29
Tl 0.7500 0.5000 0.2500  4 Tl 3.29
Pb 0.0000 0.0000 0.0000  6 Tl 3.29

---

A plane-wave DFT calculation with GGA-PBE was carried out for a relaxed Ba2Tl8Pb crystal.

Raw total energy in eV per atom: -2.60
DOS(E_F) in states/eV per cell: 6.05
Offset from the most stable computed form in kJ/mol of atoms: 0.0
Formation energy in meV/atom: -197

Lattice parameters (Å, degrees): 6.0824 6.1616 10.0579 91.81 94.03 101.83
With the nearest neighbours (Å) after each atom.
Sites, in units of the cell vectors:
Ba 0.1680 0.2937 0.2889  11 Tl 3.61-3.83, 1 Pb 3.76
Ba 0.8320 0.7063 0.7111  11 Tl 3.61-3.83, 1 Pb 3.76
Tl 0.0514 0.7611 0.0796  6 Tl 3.38-3.64, 2 Pb 3.44-3.56, 2 Ba 3.76-3.77
Tl 0.2641 0.3523 0.6578  5 Tl 3.21-3.52
Tl 0.2790 0.8177 0.4803  3 Tl 3.12-3.43
Tl 0.4054 0.9717 0.8361  4 Tl 3.21-3.48, 2 Pb 3.51-3.52
Tl 0.5946 0.0283 0.1639  4 Tl 3.21-3.48, 2 Pb 3.51-3.52
Tl 0.7210 0.1823 0.5197  3 Tl 3.12-3.43
Tl 0.7359 0.6477 0.3422  5 Tl 3.21-3.52
Tl 0.9486 0.2389 0.9204  6 Tl 3.38-3.64, 2 Pb 3.44-3.56, 2 Ba 3.76-3.77
Pb 0.5000 0.5000 0.0000  10 Tl 3.44-3.65, 2 Ba 3.76

---

A plane-wave DFT calculation with GGA-PBE was carried out for a relaxed Ba3Tl3Pb8 crystal.

Raw total energy in eV per atom: -3.34
DOS(E_F) in states/eV per cell: 4.99
Formation energy in meV/atom: -302

Lattice parameters (Å, degrees): 9.9300 9.9300 9.9300 147.69 104.56 84.46
With the nearest neighbours (Å) after each atom.
Sites, in units of the cell vectors:
Ba 0.0000 0.0000 0.0000  12 Pb 3.85-4.00
Ba 0.2988 0.2988 0.0000  2 Tl 3.59, 10 Pb 3.92-4.01
Ba 0.7012 0.7012 0.0000  2 Tl 3.59, 10 Pb 3.92-4.01
Tl 0.3322 0.5000 0.8322  6 Pb 3.22-3.59, 2 Tl 3.43, 2 Ba 3.59
Tl 0.5000 0.0000 0.5000  4 Tl 3.43, 4 Pb 3.49
Tl 0.6678 0.5000 0.1678  6 Pb 3.22-3.59, 2 Tl 3.43, 2 Ba 3.59
Pb 0.0116 0.6452 0.3664  1 Tl 3.22, 4 Pb 3.23-3.26
Pb 0.1273 0.8517 0.2756  3 Pb 3.23-3.26, 3 Tl 3.49-3.59
Pb 0.2788 0.6452 0.6336  1 Tl 3.22, 4 Pb 3.23-3.26
Pb 0.4239 0.1483 0.2756  3 Pb 3.23-3.26, 3 Tl 3.49-3.59
Pb 0.5761 0.8517 0.7244  3 Pb 3.23-3.26, 3 Tl 3.49-3.59
Pb 0.7212 0.3548 0.3664  1 Tl 3.22, 4 Pb 3.23-3.26
Pb 0.8727 0.1483 0.7244  3 Pb 3.23-3.26, 3 Tl 3.49-3.59
Pb 0.9884 0.3548 0.6336  1 Tl 3.22, 4 Pb 3.23-3.26

---

A plane-wave DFT calculation with GGA-PBE was carried out for a relaxed Ba2TlPb8 crystal.

Raw total energy in eV per atom: -3.42
DOS(E_F) in states/eV per cell: 4.98
Formation energy in meV/atom: -161

Lattice parameters (Å, degrees): 11.2352 11.2352 4.8900 102.50 102.50 129.76
With the nearest neighbours (Å) after each atom.
Sites, in units of the cell vectors:
Ba 0.1763 0.8237 0.0000  8 Pb 3.58-3.92
Ba 0.8237 0.1763 0.0000  8 Pb 3.58-3.92
Tl 0.5000 0.5000 0.5000  2 Pb 3.35
Pb 0.1216 0.1216 0.8678  4 Pb 3.13-3.20, 1 Tl 3.35
Pb 0.1849 0.4338 0.8089  4 Pb 3.13-3.25
Pb 0.3048 0.6952 0.5000  4 Pb 3.23-3.25, 2 Ba 3.58
Pb 0.4338 0.1849 0.8089  4 Pb 3.13-3.25
Pb 0.5662 0.8151 0.1911  4 Pb 3.13-3.25
Pb 0.6952 0.3048 0.5000  4 Pb 3.23-3.25, 2 Ba 3.58
Pb 0.8151 0.5662 0.1911  4 Pb 3.13-3.25
Pb 0.8784 0.8784 0.1322  4 Pb 3.13-3.20, 1 Tl 3.35